No. 1
TaGaCo: relaxed, PBE.

Cell: 2.9020 2.9020 5.4529 Å, 105.43 105.43 90.00°
Last column: magnetic moment on the atom in μB.
Atoms (fractional coordinates):
Co1 0.6760 0.6760 0.3520  0.40
Ga1 0.3154 0.3154 0.6307  -0.01
Ta1 0.0087 0.0087 0.0173  0.03

Calculated values
* D(E_F): 3.2 states/eV/f.u.
* formation enthalpy at 0 K: -0.21 eV per atom
* mass density: 12.08 g/cm³
* crystal system: tetragonal
* SG: No. 107

***

No. 2
Cs2HgAsPt: relaxed, PBE.

Cell: 6.9692 6.9692 4.6390 Å, 90.00 90.00 90.00°
Atoms (fractional coordinates):
Cs1 0.0000 0.5000 0.0000
Cs2 0.5000 0.0000 0.0000
As1 0.0000 0.0000 0.5000
Hg1 0.5000 0.5000 0.5000
Pt1 0.0000 0.0000 0.0000

Calculated values
* relative energy among the computed polymorphs: 0 meV/atom
* D(E_F): 2.7 states/eV/f.u.
* formation enthalpy at 0 K: -0.31 eV per atom
* mass density: 5.43 g/cm³
* crystal system: tetragonal
* SG: No. 123

***

No. 3
La2Bi2F: relaxed, PBE.

Cell: 7.6683 7.6683 5.0208 Å, 90.00 90.00 90.00°
Atoms (fractional coordinates):
F1 0.0000 0.0000 0.0000
F2 0.5000 0.5000 0.0000
Bi1 0.1376 0.6376 0.5000
Bi2 0.6376 0.8624 0.5000
Bi3 0.8624 0.3624 0.5000
Bi4 0.3624 0.1376 0.5000
La1 0.3208 0.8208 0.0000
La2 0.8208 0.6792 0.0000
La3 0.6792 0.1792 0.0000
La4 0.1792 0.3208 0.0000

Calculated values
* E_form (uncorrected): -1.50 eV per atom
* D(E_F): 1.6 states/eV/f.u.
* mass density: 8.04 g/cm³
* crystal system: tetragonal
* SG: No. 127

***

No. 4
BaFe2Si: relaxed, PBE.

Cell: 5.4453 5.4453 3.1118 Å, 74.44 74.44 109.46°
Last column: magnetic moment on the atom in μB.
Atoms (fractional coordinates):
Ba1 0.0000 0.5000 0.5000  -0.15
Fe1 0.0000 0.0000 0.0000  2.53
Fe2 0.5000 0.5000 0.0000  2.53
Si1 0.5000 0.0000 0.5000  -0.01

Calculated values
* E_form (uncorrected): 0.97 eV per atom
* D(E_F): 4.9 states/eV/f.u.
* mass density: 5.97 g/cm³
* crystal system: monoclinic
* SG: No. 12

***

No. 5
V3CoOs: relaxed, PBE.

Cell: 4.2191 4.2191 4.2191 Å, 90.00 90.00 90.00°
Atoms (fractional coordinates):
Os1 0.5000 0.5000 0.5000
Co1 0.0000 0.0000 0.0000
V1 0.0000 0.5000 0.0000
V2 0.0000 0.0000 0.5000
V3 0.5000 0.0000 0.0000

Calculated values
* relative energy among the computed polymorphs: 0 meV/atom
* D(E_F): 7.3 states/eV/f.u.
* formation enthalpy at 0 K: 0.87 eV per atom
* mass density: 8.89 g/cm³
* crystal system: cubic
* SG: No. 221

***

No. 6
KSi2Te8Rh: relaxed, PBE.

Cell: 6.7937 6.7937 9.8116 Å, 69.74 69.74 60.00°
Atoms (fractional coordinates):
K1 0.5000 0.5000 0.5000
Si1 0.2479 0.2479 0.2562
Si2 0.7521 0.7521 0.7438
Te1 0.1538 0.1538 0.5386
Te2 0.6270 0.2991 0.1559
Te3 0.8462 0.8462 0.4614
Te4 0.9181 0.6270 0.1559
Te5 0.0819 0.3730 0.8441
Te6 0.2991 0.9181 0.1559
Te7 0.7009 0.0819 0.8441
Te8 0.3730 0.7009 0.8441
Rh1 0.0000 0.0000 0.0000

Calculated values
* E_form (uncorrected): -0.16 eV per atom
* D(E_F): 7.7 states/eV/f.u.
* mass density: 5.63 g/cm³
* crystal system: trigonal
* SG: No. 148

***

No. 7
Hf4InSi: relaxed, PBE.

Cell: 5.4092 6.7560 6.7560 Å, 90.00 90.00 90.00°
Atoms (fractional coordinates):
Hf1 0.0000 0.1675 0.6389
Hf2 0.0000 0.8325 0.3611
Hf3 0.0000 0.3611 0.1675
Hf4 0.0000 0.6389 0.8325
Hf5 0.5000 0.8325 0.6389
Hf6 0.5000 0.1675 0.3611
Hf7 0.5000 0.6389 0.1675
Hf8 0.5000 0.3611 0.8325
In1 0.2500 0.0000 0.0000
In2 0.7500 0.0000 0.0000
Si1 0.2500 0.5000 0.5000
Si2 0.7500 0.5000 0.5000

Calculated values
* E_form (uncorrected): -0.37 eV per atom
* D(E_F): 6.0 states/eV/f.u.
* mass density: 11.53 g/cm³
* crystal system: tetragonal
* SG: No. 124

***

No. 8
Sr3NbCu2O8: relaxed, PBE.

Cell: 5.6680 5.6680 7.3124 Å, 90.00 90.00 120.00°
Last column: magnetic moment on the atom in μB.
Atoms (fractional coordinates):
Sr1 0.3333 0.6667 0.6304  0.00
Sr2 0.6667 0.3333 0.3696  0.00
Sr3 0.0000 0.0000 0.0000  -0.01
Nb1 0.0000 0.0000 0.5000  0.02
Cu1 0.3333 0.6667 0.1919  0.69
Cu2 0.6667 0.3333 0.8081  0.69
O1 0.3333 0.6667 0.9500  0.38
O2 0.6667 0.3333 0.0500  0.38
O3 0.1642 0.8358 0.3375  0.11
O4 0.8358 0.1642 0.6625  0.11
O5 0.1642 0.3284 0.3375  0.11
O6 0.8358 0.6716 0.6625  0.11
O7 0.6716 0.8358 0.3375  0.11
O8 0.3284 0.1642 0.6625  0.11

Calculated values
* E_form (uncorrected): -1.94 eV per atom
* D(E_F): 7.0 states/eV/f.u.
* mass density: 4.99 g/cm³
* crystal system: trigonal
* SG: No. 164

***

- What is the formula in the third record?
  La2Bi2F